1.
Density functional theory data (PBE) for a relaxed structure of YAlAs2Au.

POSCAR file:
```
YAlAs2Au
1.0
4.881 0.000 0.000
0.000 4.828 0.000
0.000 0.000 4.881
Y As Au Al
1 2 1 1
Direct
0.500 0.500 0.500 Y
0.500 0.000 0.000 As
0.000 0.000 0.500 As
0.000 0.500 0.000 Au
0.000 0.000 0.000 Al
```

Calculated values
E_form: -0.2074 eV per atom
DOS(E_F): 2.51 states/eV per cell
space group: P4/mmm

=====

2.
Density functional theory data (PBE) for a relaxed structure of Dy2Al2MoRu5.

POSCAR file:
```
Dy2Al2MoRu5
1.0
3.254 0.000 0.000
0.000 10.125 0.000
0.000 0.000 10.125
Mo Al Ru Dy
2 4 10 4
Direct
0.000 0.000 0.000 Mo
0.000 0.500 0.500 Mo
0.000 0.627 0.873 Al
0.000 0.373 0.127 Al
0.000 0.873 0.373 Al
0.000 0.127 0.627 Al
0.500 0.935 0.197 Ru
0.500 0.303 0.565 Ru
0.500 0.065 0.803 Ru
0.500 0.435 0.303 Ru
0.500 0.697 0.435 Ru
0.500 0.500 0.000 Ru
0.500 0.197 0.065 Ru
0.500 0.803 0.935 Ru
0.500 0.565 0.697 Ru
0.500 0.000 0.500 Ru
0.000 0.328 0.828 Dy
0.000 0.172 0.328 Dy
0.000 0.828 0.672 Dy
0.000 0.672 0.172 Dy
```

Calculated values
E_form: -0.3603 eV per atom
DOS(E_F): 12.21 states/eV per cell
space group: P4/mbm

=====

3.
Density functional theory data (PBE) for a relaxed structure of Zr4HPb2.

POSCAR file:
```
Zr4HPb2
1.0
-3.222 -0.396 -2.709
-1.796 -3.281 2.616
-2.836 6.640 2.401
Zr H Pb
4 1 2
Direct
0.500 0.000 0.000 Zr
0.000 0.500 0.000 Zr
0.000 0.828 0.656 Zr
0.000 0.172 0.344 Zr
0.000 0.000 0.000 H
0.500 0.345 0.690 Pb
0.500 0.655 0.310 Pb
```

Calculated values
offset from the most stable computed form: 0 meV per atom
DOS(E_F): 4.90 states/eV per cell
space group: Cmmm

=====

Which formula does entry 1 have? YAlAs2Au